# 1
## ThTcB (PBE)

Data for a relaxed ThTcB crystal.

abc: 3.3266 5.1675 7.1060
angles: 111.25 103.54 90.00
Sites, in units of the cell vectors:
Tc  0.6049  0.1047  0.2099
Th  0.1601  0.6608  0.3202
B  0.9997  0.8386  0.9994
Th  0.8399  0.3392  0.6798
Tc  0.3951  0.8953  0.7901
B  0.0003  0.1614  0.0006

Output
- space group = C2/m
- E_form (kJ per mole of atoms) = 4.72
- E (eV/atom) = -8.105
- energy above the lowest structure with this stoichiometry (eV per formula unit) = 0.85



# 2
## PrPuCd6 (PBE)

Data for a relaxed PrPuCd6 crystal.

abc: 5.0529 6.7719 6.7719
angles: 119.39 90.00 90.00
Each line ends with the local moment (μB).
Sites, in units of the cell vectors:
Cd  0.0000  0.5625  0.9011  0.03
Cd  0.0000  0.0898  0.9102  0.02
Cd  0.5000  0.9269  0.5940  0.01
Pr  0.5000  0.9118  0.0882  -0.07
Cd  0.5000  0.4060  0.0731  0.01
Cd  0.5000  0.4161  0.5839  0.01
Pu  0.0000  0.5879  0.4121  5.54
Cd  0.0000  0.0989  0.4375  0.03

Output
- space group = Amm2
- E_form (kJ per mole of atoms) = -15.57
- E (eV/atom) = -3.237



# 3
## Pr4AlCd2 (PBE)

Data for a relaxed Pr4AlCd2 crystal.

abc: 5.3781 5.3781 9.1917
angles: 72.99 72.99 60.00
Sites, in units of the cell vectors:
Al  0.0000  0.0000  0.0000
Pr  0.3798  0.3798  0.8606
Pr  0.1276  0.1276  0.6171
Cd  0.2541  0.2541  0.2376
Pr  0.6202  0.6202  0.1394
Cd  0.7459  0.7459  0.7624
Pr  0.8724  0.8724  0.3829

Output
- space group = R-3m
- E_form (kJ per mole of atoms) = -16.17
- E (eV/atom) = -3.695



# 4
## CsMg2Se2 (PBE)

Data for a relaxed CsMg2Se2 crystal.

abc: 8.3220 8.3220 8.3220
angles: 147.83 147.83 46.13
Sites, in units of the cell vectors:
Se  0.6572  0.6572  0.0000
Mg  0.2500  0.7500  0.5000
Cs  0.0000  0.0000  0.0000
Mg  0.7500  0.2500  0.5000
Se  0.3428  0.3428  0.0000

Output
- space group = I4/mmm
- E (eV/atom) = -3.139
- raw formation energy (eV per formula unit) = -4.68



# 5
## Zr10NiSnSb4 (PBE)

Data for a relaxed Zr10NiSnSb4 crystal.

abc: 8.3903 8.3903 8.3903
angles: 96.28 96.28 141.37
Sites, in units of the cell vectors:
Zr  0.0419  0.1814  0.7075
Zr  0.3343  0.0419  0.8604
Sb  0.0863  0.9137  0.5000
Zr  0.1814  0.4739  0.1396
Zr  0.4739  0.3343  0.2925
Zr  0.9581  0.6657  0.1396
Sb  0.9137  0.4137  0.8275
Zr  0.6657  0.5261  0.7075
Zr  0.5000  0.0000  0.5000
Zr  0.5261  0.8186  0.8604
Sb  0.5863  0.0863  0.1725
Sn  0.0000  0.0000  0.0000
Ni  0.5000  0.5000  0.0000
Zr  0.0000  0.5000  0.5000
Sb  0.4137  0.5863  0.5000
Zr  0.8186  0.9581  0.2925

Output
- space group = I422
- E (eV/atom) = -7.612
- raw formation energy (eV per formula unit) = -10.04



# 6
## CdCo2Ag (PBE)

Data for a relaxed CdCo2Ag crystal.

abc: 9.1544 9.1544 9.1544
angles: 17.57 17.57 17.57
Each line ends with the local moment (μB).
Sites, in units of the cell vectors:
Ag  0.5077  0.5077  0.5077  0.00
Cd  0.7437  0.7437  0.7437  -0.01
Co  0.2585  0.2585  0.2585  1.77
Co  0.9901  0.9901  0.9901  1.73

Output
- space group = R3m
- E_form (kJ per mole of atoms) = 27.12
- E (eV/atom) = -4.213



# 7
## ScSbAs (PBE)

Data for a relaxed ScSbAs crystal.

abc: 4.5558 4.5558 3.9937
angles: 90.00 90.00 120.00
Sites, in units of the cell vectors:
As  0.0000  0.0000  0.8334
Sb  0.6667  0.3333  0.3333
Sc  0.3333  0.6667  0.8332

Output
- space group = P-6m2
- E (eV/atom) = -5.407
- raw formation energy (eV per formula unit) = -1.12
- energy above the lowest structure with this stoichiometry (eV per formula unit) = 0.86



# 8
## Cs2BRhI6 (PBE)

Data for a relaxed Cs2BRhI6 crystal.

abc: 9.0827 9.0827 8.1510
angles: 56.14 56.14 90.00
Sites, in units of the cell vectors:
I  0.7087  0.7087  0.5826
I  0.7895  0.7895  0.0000
I  0.2913  0.2913  0.4174
I  0.2105  0.7895  0.0000
Cs  0.2500  0.7500  0.5000
I  0.7895  0.2105  0.0000
Rh  0.0000  0.0000  0.0000
B  0.5000  0.5000  0.0000
I  0.2105  0.2105  0.0000
Cs  0.7500  0.2500  0.5000

Output
- space group = I4/mmm
- E (eV/atom) = -2.925
- raw formation energy (eV per formula unit) = -4.21



Q: E of number 2 (PrPuCd6)?
A: -3.237 eV/atom



Q: E of number 5 (Zr10NiSnSb4)?
A: -7.612 eV/atom



Q: Which formula does entry 3 have?
A: Pr4AlCd2



Q: Which of these has the highest E?
A: Cs2BRhI6